No. 1
Density functional theory data (PBE-GGA) for a geometry-optimized Hf2ZrNi structure.

Cell lengths 6.070, 6.070, 6.070 Å; angles 102.97, 102.97, 123.44 degrees
Atoms (fractional coordinates):
Hf  0.067  0.625  0.942
Hf  0.375  0.317  0.442
Hf  0.683  0.125  0.058
Hf  0.875  0.933  0.558
Zr  0.250  0.750  0.500
Zr  0.500  0.500  0.000
Ni  0.000  0.000  0.000
Ni  0.750  0.250  0.500

Output
Excess energy over the best structure of this formula in the dataset: 0.305 eV/atom
VASP energy: -8.48 eV per atom
Energy of formation from the pure elements: 0.0760 eV/atom
Size of the total moment: 0.00 μB/cell

=====

No. 2
Density functional theory data (PBE-GGA) for a geometry-optimized HfZrNi5 structure.

Cell lengths 4.479, 4.479, 5.239 Å; angles 90.00, 90.00, 90.00 degrees
Atoms (fractional coordinates):
Hf  0.000  0.000  0.000
Zr  0.500  0.500  0.500
Ni  0.000  0.000  0.500
Ni  0.000  0.500  0.249
Ni  0.000  0.500  0.751
Ni  0.500  0.000  0.249
Ni  0.500  0.000  0.751

Output
VASP energy: -6.91 eV per atom
Energy of formation from the pure elements: -0.1352 eV/atom
Size of the total moment: 0.00 μB/cell

=====

No. 3
Density functional theory data (PBE-GGA) for a geometry-optimized HfZrNi structure.

Cell lengths 5.488, 5.488, 7.899 Å; angles 121.80, 121.80, 34.39 degrees
Atoms (fractional coordinates):
Hf  0.000  0.000  0.000
Hf  0.584  0.584  0.716
Zr  0.322  0.322  0.133
Zr  0.737  0.737  0.421
Ni  0.025  0.025  0.416
Ni  0.298  0.298  0.726

Output
Excess energy over the best structure of this formula in the dataset: 0.027 eV/atom
VASP energy: -8.40 eV per atom
Energy of formation from the pure elements: -0.3065 eV/atom
Size of the total moment: 0.00 μB/cell

=====

No. 4
Density functional theory data (PBE-GGA) for a geometry-optimized Hf2ZrNi structure.

Cell lengths 5.761, 5.761, 6.934 Å; angles 90.00, 90.00, 136.52 degrees
Atoms (fractional coordinates):
Hf  0.141  0.859  0.536
Hf  0.141  0.859  0.964
Hf  0.859  0.141  0.036
Hf  0.859  0.141  0.464
Zr  0.450  0.550  0.750
Zr  0.550  0.450  0.250
Ni  0.286  0.714  0.250
Ni  0.714  0.286  0.750

Output
Excess energy over the best structure of this formula in the dataset: 0.025 eV/atom
VASP energy: -8.76 eV per atom
Energy of formation from the pure elements: -0.2040 eV/atom
Size of the total moment: 0.00 μB/cell

=====

No. 5
Density functional theory data (PBE-GGA) for a geometry-optimized Hf3ZrNi2 structure.

Cell lengths 6.465, 6.465, 5.200 Å; angles 90.00, 90.00, 87.07 degrees
Atoms (fractional coordinates):
Hf  0.086  0.914  0.750
Hf  0.090  0.589  0.250
Hf  0.411  0.910  0.250
Hf  0.589  0.090  0.750
Hf  0.910  0.411  0.750
Hf  0.914  0.086  0.250
Zr  0.417  0.583  0.750
Zr  0.583  0.417  0.250
Ni  0.245  0.245  0.000
Ni  0.245  0.245  0.500
Ni  0.755  0.755  0.000
Ni  0.755  0.755  0.500

Output
VASP energy: -8.67 eV per atom
Energy of formation from the pure elements: -0.3392 eV/atom
Size of the total moment: 0.00 μB/cell

=====

No. 6
Density functional theory data (PBE-GGA) for a geometry-optimized HfZr2Ni9 structure.

Cell lengths 8.433, 8.433, 8.433 Å; angles 33.22, 33.22, 33.22 degrees
Atoms (fractional coordinates):
Hf  0.000  0.000  0.000
Zr  0.137  0.137  0.137
Zr  0.863  0.863  0.863
Ni  0.080  0.585  0.585
Ni  0.334  0.334  0.334
Ni  0.415  0.415  0.920
Ni  0.415  0.920  0.415
Ni  0.500  0.500  0.500
Ni  0.585  0.080  0.585
Ni  0.585  0.585  0.080
Ni  0.666  0.666  0.666
Ni  0.920  0.415  0.415

Output
Excess energy over the best structure of this formula in the dataset: 0.022 eV/atom
VASP energy: -7.01 eV per atom
Energy of formation from the pure elements: -0.4189 eV/atom
Size of the total moment: 0.00 μB/cell

=====

Copy entry 6 word for word.
Density functional theory data (PBE-GGA) for a geometry-optimized HfZr2Ni9 structure.

Cell lengths 8.433, 8.433, 8.433 Å; angles 33.22, 33.22, 33.22 degrees
Atoms (fractional coordinates):
Hf  0.000  0.000  0.000
Zr  0.137  0.137  0.137
Zr  0.863  0.863  0.863
Ni  0.080  0.585  0.585
Ni  0.334  0.334  0.334
Ni  0.415  0.415  0.920
Ni  0.415  0.920  0.415
Ni  0.500  0.500  0.500
Ni  0.585  0.080  0.585
Ni  0.585  0.585  0.080
Ni  0.666  0.666  0.666
Ni  0.920  0.415  0.415

Output
Excess energy over the best structure of this formula in the dataset: 0.022 eV/atom
VASP energy: -7.01 eV per atom
Energy of formation from the pure elements: -0.4189 eV/atom
Size of the total moment: 0.00 μB/cell